Record 1
# In2SiPb

In2SiPb after structural relaxation (PBEsol, the Alexandria database).

Geometry as CIF:
```
data_In2SiPb
_chemical_formula_sum 'In8 Si4 Pb4'
_cell_length_a 7.282
_cell_length_b 7.282
_cell_length_c 7.282
_cell_angle_alpha 90.00
_cell_angle_beta 90.00
_cell_angle_gamma 90.00
_symmetry_space_group_name_H-M 'F m -3 m'
_symmetry_Int_Tables_number 225
_symmetry_space_group_name_Hall '-F 4 2 3'
loop_
_atom_site_label
_atom_site_type_symbol
_atom_site_fract_x
_atom_site_fract_y
_atom_site_fract_z
In1 In 0.250 0.250 0.250
Si1 Si 0.000 0.000 0.000
Pb1 Pb 0.000 0.000 0.500
```

Calculated values
- Formation energy without anion corrections: 0.305 eV/atom
- Energy above the most stable polymorph in this dataset: 88 meV/atom
- Total magnetic moment: 0.0 μB/cell
- N(E_F): 9.80 states/eV per cell
- Calculated volume: 24.13 A^3/atom


Record 2
# In2SiPb

In2SiPb after structural relaxation (PBEsol, the Alexandria database).

Geometry as CIF:
```
data_In2SiPb
_chemical_formula_sum 'In4 Si2 Pb2'
_cell_length_a 4.460
_cell_length_b 4.460
_cell_length_c 9.709
_cell_angle_alpha 90.00
_cell_angle_beta 90.00
_cell_angle_gamma 90.00
_symmetry_space_group_name_H-M 'I -4 m 2'
_symmetry_Int_Tables_number 119
_symmetry_space_group_name_Hall 'I -4 -2'
loop_
_atom_site_label
_atom_site_type_symbol
_atom_site_fract_x
_atom_site_fract_y
_atom_site_fract_z
In1 In 0.000 0.000 0.000
In2 In 0.000 0.500 0.250
Si1 Si 0.000 0.500 0.750
Pb1 Pb 0.000 0.000 0.500
```

Calculated values
- Formation energy without anion corrections: 0.283 eV/atom
- Energy above the most stable polymorph in this dataset: 65 meV/atom
- Total magnetic moment: 0.0 μB/cell
- N(E_F): 4.27 states/eV per cell
- Calculated volume: 24.14 A^3/atom


Record 3
# InSi2Pb

InSi2Pb after structural relaxation (PBEsol, the Alexandria database).

Geometry as CIF:
```
data_InSi2Pb
_chemical_formula_sum 'In2 Si4 Pb2'
_cell_length_a 6.542
_cell_length_b 7.437
_cell_length_c 3.536
_cell_angle_alpha 90.00
_cell_angle_beta 90.00
_cell_angle_gamma 90.00
_symmetry_space_group_name_H-M 'C m m m'
_symmetry_Int_Tables_number 65
_symmetry_space_group_name_Hall '-C 2 2'
loop_
_atom_site_label
_atom_site_type_symbol
_atom_site_fract_x
_atom_site_fract_y
_atom_site_fract_z
In1 In 0.000 0.000 0.000
Si1 Si 0.250 0.250 0.500
Pb1 Pb 0.000 0.500 0.000
```

Calculated values
- Formation energy without anion corrections: 0.485 eV/atom
- Energy above the most stable polymorph in this dataset: 0 meV/atom
- Total magnetic moment: 0.0 μB/cell
- N(E_F): 4.49 states/eV per cell
- Calculated volume: 21.50 A^3/atom


Record 4
# InSi4Pb

InSi4Pb after structural relaxation (PBEsol, the Alexandria database).

Geometry as CIF:
```
data_InSi4Pb
_chemical_formula_sum 'In4 Si16 Pb4'
_cell_length_a 7.674
_cell_length_b 7.674
_cell_length_c 7.674
_cell_angle_alpha 90.00
_cell_angle_beta 90.00
_cell_angle_gamma 90.00
_symmetry_space_group_name_H-M 'F -4 3 m'
_symmetry_Int_Tables_number 216
_symmetry_space_group_name_Hall 'F -4 2 3'
loop_
_atom_site_label
_atom_site_type_symbol
_atom_site_fract_x
_atom_site_fract_y
_atom_site_fract_z
In1 In 0.000 0.000 0.000
Si1 Si 0.128 0.128 0.372
Pb1 Pb 0.250 0.250 0.750
```

Calculated values
- Formation energy without anion corrections: 0.378 eV/atom
- Total magnetic moment: 0.0 μB/cell
- N(E_F): 8.18 states/eV per cell
- Calculated volume: 18.83 A^3/atom


Record 5
# In2SiPb

In2SiPb after structural relaxation (PBEsol, the Alexandria database).

Geometry as CIF:
```
data_In2SiPb
_chemical_formula_sum 'In2 Si1 Pb1'
_cell_length_a 3.496
_cell_length_b 3.562
_cell_length_c 7.650
_cell_angle_alpha 90.00
_cell_angle_beta 90.00
_cell_angle_gamma 90.00
_symmetry_space_group_name_H-M 'P m m m'
_symmetry_Int_Tables_number 47
loop_
_symmetry_equiv_pos_as_xyz
'x,y,z'
'-x,-y,-z'
'-x,-y,z'
'x,y,-z'
'x,-y,-z'
'-x,y,z'
'-x,y,-z'
'x,-y,z'
loop_
_atom_site_label
_atom_site_type_symbol
_atom_site_fract_x
_atom_site_fract_y
_atom_site_fract_z
In1 In 0.000 0.000 0.208
Si1 Si 0.500 0.500 0.000
Pb1 Pb 0.500 0.500 0.500
```

Calculated values
- Formation energy without anion corrections: 0.217 eV/atom
- Energy above the most stable polymorph in this dataset: 0 meV/atom
- Total magnetic moment: 0.0 μB/cell
- N(E_F): 2.22 states/eV per cell
- Calculated volume: 23.81 A^3/atom


Record 6
# InSi2Pb

InSi2Pb after structural relaxation (PBEsol, the Alexandria database).

Geometry as CIF:
```
data_InSi2Pb
_chemical_formula_sum 'In2 Si4 Pb2'
_cell_length_a 4.581
_cell_length_b 4.581
_cell_length_c 8.277
_cell_angle_alpha 90.00
_cell_angle_beta 90.00
_cell_angle_gamma 90.00
_symmetry_space_group_name_H-M 'I -4 m 2'
_symmetry_Int_Tables_number 119
_symmetry_space_group_name_Hall 'I -4 -2'
loop_
_atom_site_label
_atom_site_type_symbol
_atom_site_fract_x
_atom_site_fract_y
_atom_site_fract_z
In1 In 0.000 0.000 0.000
Si1 Si 0.000 0.000 0.500
Si2 Si 0.000 0.500 0.750
Pb1 Pb 0.000 0.500 0.250
```

Calculated values
- Formation energy without anion corrections: 0.501 eV/atom
- Energy above the most stable polymorph in this dataset: 15 meV/atom
- Total magnetic moment: 0.0 μB/cell
- N(E_F): 3.39 states/eV per cell
- Calculated volume: 21.71 A^3/atom


Record 7
# TiInSi2Pb

TiInSi2Pb after structural relaxation (PBEsol, the Alexandria database).

Geometry as CIF:
```
data_TiInSi2Pb
_chemical_formula_sum 'Ti1 In1 Si2 Pb1'
_cell_length_a 4.935
_cell_length_b 4.935
_cell_length_c 5.221
_cell_angle_alpha 90.00
_cell_angle_beta 90.00
_cell_angle_gamma 90.00
_symmetry_space_group_name_H-M 'P 4/m m m'
_symmetry_Int_Tables_number 123
_symmetry_space_group_name_Hall '-P 4 2'
loop_
_atom_site_label
_atom_site_type_symbol
_atom_site_fract_x
_atom_site_fract_y
_atom_site_fract_z
Ti1 Ti 0.000 0.000 0.000
In1 In 0.000 0.000 0.500
Si1 Si 0.000 0.500 0.500
Pb1 Pb 0.500 0.500 0.000
```

Calculated values
- Formation energy without anion corrections: 1.126 eV/atom
- Total magnetic moment: 1.1 μB/cell
- N(E_F): 5.80 states/eV per cell
- Calculated volume: 25.43 A^3/atom


Record 8
# InSn2Pb

InSn2Pb after structural relaxation (PBEsol, the Alexandria database).

Geometry as CIF:
```
data_InSn2Pb
_chemical_formula_sum 'In4 Sn8 Pb4'
_cell_length_a 7.545
_cell_length_b 7.545
_cell_length_c 7.545
_cell_angle_alpha 90.00
_cell_angle_beta 90.00
_cell_angle_gamma 90.00
_symmetry_space_group_name_H-M 'F m -3 m'
_symmetry_Int_Tables_number 225
_symmetry_space_group_name_Hall '-F 4 2 3'
loop_
_atom_site_label
_atom_site_type_symbol
_atom_site_fract_x
_atom_site_fract_y
_atom_site_fract_z
In1 In 0.000 0.000 0.000
Sn1 Sn 0.250 0.250 0.250
Pb1 Pb 0.000 0.000 0.500
```

Calculated values
- Total magnetic moment: 0.0 μB/cell
- N(E_F): 9.02 states/eV per cell
- Formation energy from the elements: 0.043 eV per atom
- Calculated volume: 26.84 A^3/atom


Record 9
# InSnPb3

InSnPb3 after structural relaxation (PBEsol, the Alexandria database).

Geometry as CIF:
```
data_InSnPb3
_chemical_formula_sum 'In1 Sn1 Pb3'
_cell_length_a 5.737
_cell_length_b 5.737
_cell_length_c 5.737
_cell_angle_alpha 90.00
_cell_angle_beta 90.00
_cell_angle_gamma 90.00
_symmetry_space_group_name_H-M 'P m -3 m'
_symmetry_Int_Tables_number 221
_symmetry_space_group_name_Hall '-P 4 2 3'
loop_
_atom_site_label
_atom_site_type_symbol
_atom_site_fract_x
_atom_site_fract_y
_atom_site_fract_z
In1 In 0.000 0.000 0.000
Sn1 Sn 0.500 0.500 0.500
Pb1 Pb 0.000 0.500 0.500
```

Calculated values
- Total magnetic moment: 0.0 μB/cell
- N(E_F): 4.10 states/eV per cell
- Formation energy from the elements: 0.583 eV per atom
- Calculated volume: 37.77 A^3/atom


Record 10
# ZrInSn2Pb

ZrInSn2Pb after structural relaxation (PBEsol, the Alexandria database).

Geometry as CIF:
```
data_ZrInSn2Pb
_chemical_formula_sum 'Zr1 In1 Sn2 Pb1'
_cell_length_a 5.372
_cell_length_b 5.372
_cell_length_c 5.506
_cell_angle_alpha 90.00
_cell_angle_beta 90.00
_cell_angle_gamma 90.00
_symmetry_space_group_name_H-M 'P 4/m m m'
_symmetry_Int_Tables_number 123
_symmetry_space_group_name_Hall '-P 4 2'
loop_
_atom_site_label
_atom_site_type_symbol
_atom_site_fract_x
_atom_site_fract_y
_atom_site_fract_z
Zr1 Zr 0.000 0.000 0.000
In1 In 0.500 0.500 0.500
Sn1 Sn 0.000 0.500 0.500
Pb1 Pb 0.500 0.500 0.000
```

Calculated values
- Total magnetic moment: 1.2 μB/cell
- N(E_F): 6.15 states/eV per cell
- Formation energy from the elements: 0.966 eV per atom
- Calculated volume: 31.78 A^3/atom


Record 11
# SrIn2Pb

SrIn2Pb after structural relaxation (PBEsol, the Alexandria database).

Geometry as CIF:
```
data_SrIn2Pb
_chemical_formula_sum 'Sr1 In2 Pb1'
_cell_length_a 3.998
_cell_length_b 3.998
_cell_length_c 7.260
_cell_angle_alpha 90.00
_cell_angle_beta 90.00
_cell_angle_gamma 90.00
_symmetry_space_group_name_H-M 'P 4 m m'
_symmetry_Int_Tables_number 99
loop_
_symmetry_equiv_pos_as_xyz
'x,y,z'
'-y,x,z'
'-x,-y,z'
'y,-x,z'
'-x,y,z'
'y,x,z'
'x,-y,z'
'-y,-x,z'
loop_
_atom_site_label
_atom_site_type_symbol
_atom_site_fract_x
_atom_site_fract_y
_atom_site_fract_z
Sr1 Sr 0.000 0.000 0.000
In1 In 0.000 0.000 0.488
In2 In 0.500 0.500 0.285
Pb1 Pb 0.500 0.500 0.708
```

Calculated values
- Total magnetic moment: 0.0 μB/cell
- N(E_F): 2.60 states/eV per cell
- Formation energy from the elements: -0.279 eV per atom
- Calculated volume: 29.01 A^3/atom


Record 12
# SrIn2Pb

SrIn2Pb after structural relaxation (PBEsol, the Alexandria database).

Geometry as CIF:
```
data_SrIn2Pb
_chemical_formula_sum 'Sr1 In2 Pb1'
_cell_length_a 3.981
_cell_length_b 3.981
_cell_length_c 7.385
_cell_angle_alpha 90.00
_cell_angle_beta 90.00
_cell_angle_gamma 90.00
_symmetry_space_group_name_H-M 'P 4/m m m'
_symmetry_Int_Tables_number 123
_symmetry_space_group_name_Hall '-P 4 2'
loop_
_atom_site_label
_atom_site_type_symbol
_atom_site_fract_x
_atom_site_fract_y
_atom_site_fract_z
Sr1 Sr 0.000 0.000 0.000
In1 In 0.500 0.500 0.286
Pb1 Pb 0.000 0.000 0.500
```

Calculated values
- Total magnetic moment: 0.0 μB/cell
- N(E_F): 1.80 states/eV per cell
- Formation energy from the elements: -0.273 eV per atom
- Calculated volume: 29.26 A^3/atom


Record 13
# SrIn3Pb

SrIn3Pb after structural relaxation (PBEsol, the Alexandria database).

Geometry as CIF:
```
data_SrIn3Pb
_chemical_formula_sum 'Sr1 In3 Pb1'
_cell_length_a 5.717
_cell_length_b 5.717
_cell_length_c 5.717
_cell_angle_alpha 90.00
_cell_angle_beta 90.00
_cell_angle_gamma 90.00
_symmetry_space_group_name_H-M 'P m -3 m'
_symmetry_Int_Tables_number 221
_symmetry_space_group_name_Hall '-P 4 2 3'
loop_
_atom_site_label
_atom_site_type_symbol
_atom_site_fract_x
_atom_site_fract_y
_atom_site_fract_z
Sr1 Sr 0.000 0.000 0.000
In1 In 0.000 0.500 0.500
Pb1 Pb 0.500 0.500 0.500
```

Calculated values
- Total magnetic moment: 0.0 μB/cell
- N(E_F): 3.13 states/eV per cell
- Formation energy from the elements: 0.238 eV per atom
- Calculated volume: 37.37 A^3/atom


Record 14
# Sr2InPb

Sr2InPb after structural relaxation (PBEsol, the Alexandria database).

Geometry as CIF:
```
data_Sr2InPb
_chemical_formula_sum 'Sr2 In1 Pb1'
_cell_length_a 4.046
_cell_length_b 5.663
_cell_length_c 5.664
_cell_angle_alpha 90.00
_cell_angle_beta 90.00
_cell_angle_gamma 90.00
_symmetry_space_group_name_H-M 'P m m 2'
_symmetry_Int_Tables_number 25
loop_
_symmetry_equiv_pos_as_xyz
'x,y,z'
'-x,-y,z'
'-x,y,z'
'x,-y,z'
loop_
_atom_site_label
_atom_site_type_symbol
_atom_site_fract_x
_atom_site_fract_y
_atom_site_fract_z
Sr1 Sr 0.000 0.000 0.000
Sr2 Sr 0.000 0.500 0.494
In1 In 0.500 0.500 0.993
Pb1 Pb 0.500 0.000 0.502
```

Calculated values
- Energy above the most stable polymorph in this dataset: 0 meV/atom
- Total magnetic moment: 0.0 μB/cell
- N(E_F): 1.72 states/eV per cell
- Formation energy from the elements: -0.505 eV per atom
- Calculated volume: 32.45 A^3/atom